(1)
The following is a DFT calculation (PBE-GGA) of TlBiSN2 after structural relaxation.

Cell and atoms, written as CIF:
```
data_TlBiSN2
_chemical_formula_sum 'Tl1 Bi1 S1 N2'
_cell_length_a 4.303
_cell_length_b 4.303
_cell_length_c 5.415
_cell_angle_alpha 90.00
_cell_angle_beta 90.00
_cell_angle_gamma 90.00
_symmetry_space_group_name_H-M 'P 1'
_symmetry_Int_Tables_number 1
_symmetry_space_group_name_Hall 'P 1'
loop_
_atom_site_label
_atom_site_fract_x
_atom_site_fract_y
_atom_site_fract_z
Tl1 0.000 0.000 0.000
Bi1 0.500 0.500 0.500
S1 0.000 0.000 0.500
N1 0.000 0.500 0.000
N2 0.500 0.000 0.000
```

polymorph energy (0 for the lowest one) = 311 meV/atom
formation energy from raw total energies = 1592 meV/atom
theoretical density = 7.84 Mg/m³

---

(2)
The following is a DFT calculation (PBE-GGA) of Tm3BiSN after structural relaxation.

Cell and atoms, written as CIF:
```
data_Tm3BiSN
_chemical_formula_sum 'Tm6 Bi2 S2 N2'
_cell_length_a 8.385
_cell_length_b 4.023
_cell_length_c 8.994
_cell_angle_alpha 90.00
_cell_angle_beta 102.89
_cell_angle_gamma 90.00
_symmetry_space_group_name_H-M 'P 1'
_symmetry_Int_Tables_number 1
_symmetry_space_group_name_Hall 'P 1'
loop_
_atom_site_label
_atom_site_fract_x
_atom_site_fract_y
_atom_site_fract_z
Tm1 0.070 0.250 0.348
Tm2 0.341 0.250 0.983
Tm3 0.385 0.750 0.658
Tm4 0.615 0.250 0.342
Tm5 0.659 0.750 0.017
Tm6 0.930 0.750 0.652
Bi1 0.316 0.750 0.280
Bi2 0.684 0.250 0.720
S1 0.153 0.250 0.651
S2 0.847 0.750 0.349
N1 0.401 0.750 0.897
N2 0.599 0.250 0.103
```

formation energy from raw total energies = -1341 meV/atom
theoretical density = 8.56 Mg/m³

---

(3)
The following is a DFT calculation (PBE-GGA) of UBiS2N after structural relaxation.

Cell and atoms, written as CIF:
```
data_UBiS2N
_chemical_formula_sum 'U2 Bi2 S4 N2'
_cell_length_a 3.907
_cell_length_b 3.907
_cell_length_c 14.092
_cell_angle_alpha 90.00
_cell_angle_beta 90.00
_cell_angle_gamma 90.00
_symmetry_space_group_name_H-M 'P 1'
_symmetry_Int_Tables_number 1
_symmetry_space_group_name_Hall 'P 1'
loop_
_atom_site_label
_atom_site_fract_x
_atom_site_fract_y
_atom_site_fract_z
U1 0.250 0.250 0.082
U2 0.750 0.750 0.918
Bi1 0.250 0.250 0.630
Bi2 0.750 0.750 0.370
S1 0.250 0.250 0.399
S2 0.250 0.250 0.818
S3 0.750 0.750 0.182
S4 0.750 0.750 0.601
N1 0.250 0.750 0.000
N2 0.750 0.250 0.000
```

formation energy from raw total energies = -898 meV/atom
theoretical density = 8.11 Mg/m³

---

(4)
The following is a DFT calculation (PBE-GGA) of VBiS2N after structural relaxation.

Cell and atoms, written as CIF:
```
data_VBiS2N
_chemical_formula_sum 'V1 Bi1 S2 N1'
_cell_length_a 5.187
_cell_length_b 5.187
_cell_length_c 4.188
_cell_angle_alpha 90.00
_cell_angle_beta 90.00
_cell_angle_gamma 90.00
_symmetry_space_group_name_H-M 'P 1'
_symmetry_Int_Tables_number 1
_symmetry_space_group_name_Hall 'P 1'
loop_
_atom_site_label
_atom_site_fract_x
_atom_site_fract_y
_atom_site_fract_z
V1 0.000 0.000 0.000
Bi1 0.500 0.500 0.500
S1 0.000 0.500 0.500
S2 0.500 0.000 0.500
N1 0.500 0.500 0.000
```

polymorph energy (0 for the lowest one) = 1592 meV/atom
formation energy from raw total energies = 1451 meV/atom
theoretical density = 4.98 Mg/m³

---

(5)
The following is a DFT calculation (PBE-GGA) of VBiS2N after structural relaxation.

Cell and atoms, written as CIF:
```
data_VBiS2N
_chemical_formula_sum 'V1 Bi1 S2 N1'
_cell_length_a 4.855
_cell_length_b 4.855
_cell_length_c 3.672
_cell_angle_alpha 90.00
_cell_angle_beta 90.00
_cell_angle_gamma 90.00
_symmetry_space_group_name_H-M 'P 1'
_symmetry_Int_Tables_number 1
_symmetry_space_group_name_Hall 'P 1'
loop_
_atom_site_label
_atom_site_fract_x
_atom_site_fract_y
_atom_site_fract_z
V1 0.000 0.000 0.000
Bi1 0.500 0.500 0.500
S1 0.000 0.500 0.000
S2 0.500 0.000 0.000
N1 0.000 0.000 0.500
```

polymorph energy (0 for the lowest one) = 0 meV/atom
formation energy from raw total energies = -140 meV/atom
theoretical density = 6.49 Mg/m³

---

(6)
The following is a DFT calculation (PBE-GGA) of BiWS2N after structural relaxation.

Cell and atoms, written as CIF:
```
data_BiWS2N
_chemical_formula_sum 'Bi1 W1 S2 N1'
_cell_length_a 5.187
_cell_length_b 5.187
_cell_length_c 4.174
_cell_angle_alpha 90.00
_cell_angle_beta 90.00
_cell_angle_gamma 90.00
_symmetry_space_group_name_H-M 'P 1'
_symmetry_Int_Tables_number 1
_symmetry_space_group_name_Hall 'P 1'
loop_
_atom_site_label
_atom_site_fract_x
_atom_site_fract_y
_atom_site_fract_z
Bi1 0.000 0.000 0.000
W1 0.500 0.500 0.500
S1 0.000 0.500 0.000
S2 0.500 0.000 0.000
N1 0.000 0.000 0.500
```

polymorph energy (0 for the lowest one) = 1844 meV/atom
formation energy from raw total energies = 1901 meV/atom
theoretical density = 6.96 Mg/m³

---

(7)
The following is a DFT calculation (PBE-GGA) of BiWS2N after structural relaxation.

Cell and atoms, written as CIF:
```
data_BiWS2N
_chemical_formula_sum 'Bi1 W1 S2 N1'
_cell_length_a 4.918
_cell_length_b 4.918
_cell_length_c 3.832
_cell_angle_alpha 90.00
_cell_angle_beta 90.00
_cell_angle_gamma 90.00
_symmetry_space_group_name_H-M 'P 1'
_symmetry_Int_Tables_number 1
_symmetry_space_group_name_Hall 'P 1'
loop_
_atom_site_label
_atom_site_fract_x
_atom_site_fract_y
_atom_site_fract_z
Bi1 0.000 0.000 0.000
W1 0.500 0.500 0.500
S1 0.000 0.500 0.500
S2 0.500 0.000 0.500
N1 0.500 0.500 0.000
```

polymorph energy (0 for the lowest one) = 0 meV/atom
formation energy from raw total energies = 57 meV/atom
theoretical density = 8.44 Mg/m³

---

(8)
The following is a DFT calculation (PBE-GGA) of BiWSN2 after structural relaxation.

Cell and atoms, written as CIF:
```
data_BiWSN2
_chemical_formula_sum 'Bi1 W1 S1 N2'
_cell_length_a 4.226
_cell_length_b 4.226
_cell_length_c 5.242
_cell_angle_alpha 90.00
_cell_angle_beta 90.00
_cell_angle_gamma 90.00
_symmetry_space_group_name_H-M 'P 1'
_symmetry_Int_Tables_number 1
_symmetry_space_group_name_Hall 'P 1'
loop_
_atom_site_label
_atom_site_fract_x
_atom_site_fract_y
_atom_site_fract_z
Bi1 0.000 0.000 0.000
W1 0.500 0.500 0.500
S1 0.000 0.000 0.500
N1 0.000 0.500 0.000
N2 0.500 0.000 0.000
```

polymorph energy (0 for the lowest one) = 1954 meV/atom
formation energy from raw total energies = 2264 meV/atom
theoretical density = 8.03 Mg/m³

---

(9)
The following is a DFT calculation (PBE-GGA) of BiWSN2 after structural relaxation.

Cell and atoms, written as CIF:
```
data_BiWSN2
_chemical_formula_sum 'Bi1 W1 S1 N2'
_cell_length_a 4.019
_cell_length_b 4.019
_cell_length_c 4.904
_cell_angle_alpha 90.00
_cell_angle_beta 90.00
_cell_angle_gamma 90.00
_symmetry_space_group_name_H-M 'P 1'
_symmetry_Int_Tables_number 1
_symmetry_space_group_name_Hall 'P 1'
loop_
_atom_site_label
_atom_site_fract_x
_atom_site_fract_y
_atom_site_fract_z
Bi1 0.000 0.000 0.000
W1 0.500 0.500 0.500
S1 0.500 0.500 0.000
N1 0.000 0.500 0.500
N2 0.500 0.000 0.500
```

polymorph energy (0 for the lowest one) = 0 meV/atom
formation energy from raw total energies = 310 meV/atom
theoretical density = 9.50 Mg/m³

---

(10)
The following is a DFT calculation (PBE-GGA) of ZnBiSN2 after structural relaxation.

Cell and atoms, written as CIF:
```
data_ZnBiSN2
_chemical_formula_sum 'Zn1 Bi1 S1 N2'
_cell_length_a 4.249
_cell_length_b 4.249
_cell_length_c 5.666
_cell_angle_alpha 90.00
_cell_angle_beta 90.00
_cell_angle_gamma 90.00
_symmetry_space_group_name_H-M 'P 1'
_symmetry_Int_Tables_number 1
_symmetry_space_group_name_Hall 'P 1'
loop_
_atom_site_label
_atom_site_fract_x
_atom_site_fract_y
_atom_site_fract_z
Zn1 0.000 0.000 0.000
Bi1 0.500 0.500 0.500
S1 0.500 0.500 0.000
N1 0.000 0.500 0.500
N2 0.500 0.000 0.500
```

polymorph energy (0 for the lowest one) = 338 meV/atom
formation energy from raw total energies = 1555 meV/atom
theoretical density = 5.43 Mg/m³

---

(11)
The following is a DFT calculation (PBE-GGA) of ZnBiSN2 after structural relaxation.

Cell and atoms, written as CIF:
```
data_ZnBiSN2
_chemical_formula_sum 'Zn1 Bi1 S1 N2'
_cell_length_a 4.051
_cell_length_b 4.051
_cell_length_c 4.938
_cell_angle_alpha 90.00
_cell_angle_beta 90.00
_cell_angle_gamma 90.00
_symmetry_space_group_name_H-M 'P 1'
_symmetry_Int_Tables_number 1
_symmetry_space_group_name_Hall 'P 1'
loop_
_atom_site_label
_atom_site_fract_x
_atom_site_fract_y
_atom_site_fract_z
Zn1 0.000 0.000 0.000
Bi1 0.500 0.500 0.500
S1 0.000 0.000 0.500
N1 0.000 0.500 0.000
N2 0.500 0.000 0.000
```

polymorph energy (0 for the lowest one) = 0 meV/atom
formation energy from raw total energies = 1217 meV/atom
theoretical density = 6.85 Mg/m³

---

(12)
The following is a DFT calculation (PBE-GGA) of ZnBiS2N after structural relaxation.

Cell and atoms, written as CIF:
```
data_ZnBiS2N
_chemical_formula_sum 'Zn1 Bi1 S2 N1'
_cell_length_a 4.950
_cell_length_b 4.950
_cell_length_c 3.818
_cell_angle_alpha 90.00
_cell_angle_beta 90.00
_cell_angle_gamma 90.00
_symmetry_space_group_name_H-M 'P 1'
_symmetry_Int_Tables_number 1
_symmetry_space_group_name_Hall 'P 1'
loop_
_atom_site_label
_atom_site_fract_x
_atom_site_fract_y
_atom_site_fract_z
Zn1 0.000 0.000 0.000
Bi1 0.500 0.500 0.500
S1 0.000 0.500 0.000
S2 0.500 0.000 0.000
N1 0.000 0.000 0.500
```

polymorph energy (0 for the lowest one) = 0 meV/atom
formation energy from raw total energies = 585 meV/atom
theoretical density = 6.26 Mg/m³

---

(13)
The following is a DFT calculation (PBE-GGA) of ZnBiSN2 after structural relaxation.

Cell and atoms, written as CIF:
```
data_ZnBiSN2
_chemical_formula_sum 'Zn1 Bi1 S1 N2'
_cell_length_a 4.152
_cell_length_b 4.152
_cell_length_c 8.501
_cell_angle_alpha 90.00
_cell_angle_beta 90.00
_cell_angle_gamma 90.00
_symmetry_space_group_name_H-M 'P 1'
_symmetry_Int_Tables_number 1
_symmetry_space_group_name_Hall 'P 1'
loop_
_atom_site_label
_atom_site_fract_x
_atom_site_fract_y
_atom_site_fract_z
Zn1 0.000 0.000 0.000
Bi1 0.000 0.000 0.500
S1 0.500 0.500 0.000
N1 0.000 0.500 0.500
N2 0.500 0.000 0.500
```

polymorph energy (0 for the lowest one) = 536 meV/atom
formation energy from raw total energies = 1753 meV/atom
theoretical density = 3.79 Mg/m³

---

(14)
The following is a DFT calculation (PBE-GGA) of ZnBiS2N after structural relaxation.

Cell and atoms, written as CIF:
```
data_ZnBiS2N
_chemical_formula_sum 'Zn1 Bi1 S2 N1'
_cell_length_a 5.287
_cell_length_b 5.287
_cell_length_c 4.347
_cell_angle_alpha 90.00
_cell_angle_beta 90.00
_cell_angle_gamma 90.00
_symmetry_space_group_name_H-M 'P 1'
_symmetry_Int_Tables_number 1
_symmetry_space_group_name_Hall 'P 1'
loop_
_atom_site_label
_atom_site_fract_x
_atom_site_fract_y
_atom_site_fract_z
Zn1 0.000 0.000 0.000
Bi1 0.500 0.500 0.500
S1 0.000 0.500 0.500
S2 0.500 0.000 0.500
N1 0.500 0.500 0.000
```

polymorph energy (0 for the lowest one) = 501 meV/atom
formation energy from raw total energies = 1086 meV/atom
theoretical density = 4.82 Mg/m³

---

(15)
The following is a DFT calculation (PBE-GGA) of ZrBiS2N after structural relaxation.

Cell and atoms, written as CIF:
```
data_ZrBiS2N
_chemical_formula_sum 'Zr1 Bi1 S2 N1'
_cell_length_a 5.145
_cell_length_b 5.145
_cell_length_c 4.027
_cell_angle_alpha 90.00
_cell_angle_beta 90.00
_cell_angle_gamma 90.00
_symmetry_space_group_name_H-M 'P 1'
_symmetry_Int_Tables_number 1
_symmetry_space_group_name_Hall 'P 1'
loop_
_atom_site_label
_atom_site_fract_x
_atom_site_fract_y
_atom_site_fract_z
Zr1 0.000 0.000 0.000
Bi1 0.500 0.500 0.500
S1 0.000 0.500 0.000
S2 0.500 0.000 0.000
N1 0.000 0.000 0.500
```

polymorph energy (0 for the lowest one) = 0 meV/atom
formation energy from raw total energies = -266 meV/atom
theoretical density = 5.89 Mg/m³

---

(16)
The following is a DFT calculation (PBE-GGA) of ZrBiS2N after structural relaxation.

Cell and atoms, written as CIF:
```
data_ZrBiS2N
_chemical_formula_sum 'Zr1 Bi1 S2 N1'
_cell_length_a 5.173
_cell_length_b 5.173
_cell_length_c 4.174
_cell_angle_alpha 90.00
_cell_angle_beta 90.00
_cell_angle_gamma 90.00
_symmetry_space_group_name_H-M 'P 1'
_symmetry_Int_Tables_number 1
_symmetry_space_group_name_Hall 'P 1'
loop_
_atom_site_label
_atom_site_fract_x
_atom_site_fract_y
_atom_site_fract_z
Zr1 0.000 0.000 0.000
Bi1 0.500 0.500 0.500
S1 0.000 0.500 0.500
S2 0.500 0.000 0.500
N1 0.500 0.500 0.000
```

polymorph energy (0 for the lowest one) = 1066 meV/atom
formation energy from raw total energies = 800 meV/atom
theoretical density = 5.62 Mg/m³

---

(17)
The following is a DFT calculation (PBE-GGA) of BiSbN2 after structural relaxation.

Cell and atoms, written as CIF:
```
data_BiSbN2
_chemical_formula_sum 'Bi2 Sb2 N4'
_cell_length_a 6.234
_cell_length_b 6.234
_cell_length_c 6.234
_cell_angle_alpha 125.70
_cell_angle_beta 125.70
_cell_angle_gamma 80.38
_symmetry_space_group_name_H-M 'P 1'
_symmetry_Int_Tables_number 1
_symmetry_space_group_name_Hall 'P 1'
loop_
_atom_site_label
_atom_site_fract_x
_atom_site_fract_y
_atom_site_fract_z
Bi1 0.000 0.000 0.000
Bi2 0.750 0.250 0.500
Sb1 0.250 0.750 0.500
Sb2 0.500 0.500 0.000
N1 0.179 0.625 0.054
N2 0.375 0.429 0.554
N3 0.571 0.125 0.946
N4 0.875 0.821 0.446
```

polymorph energy (0 for the lowest one) = 687 meV/atom
formation energy from raw total energies = 780 meV/atom
theoretical density = 7.73 Mg/m³

---

(18)
The following is a DFT calculation (PBE-GGA) of BiSbN2 after structural relaxation.

Cell and atoms, written as CIF:
```
data_BiSbN2
_chemical_formula_sum 'Bi1 Sb1 N2'
_cell_length_a 3.315
_cell_length_b 4.181
_cell_length_c 10.744
_cell_angle_alpha 83.47
_cell_angle_beta 81.19
_cell_angle_gamma 85.38
_symmetry_space_group_name_H-M 'P 1'
_symmetry_Int_Tables_number 1
_symmetry_space_group_name_Hall 'P 1'
loop_
_atom_site_label
_atom_site_fract_x
_atom_site_fract_y
_atom_site_fract_z
Bi1 0.000 0.000 0.000
Sb1 0.093 0.551 0.804
N1 0.702 0.686 0.377
N2 0.725 0.472 0.448
```

polymorph energy (0 for the lowest one) = 0 meV/atom
formation energy from raw total energies = 93 meV/atom
theoretical density = 4.08 Mg/m³

---

(19)
The following is a DFT calculation (PBE-GGA) of BiSb2N after structural relaxation.

Cell and atoms, written as CIF:
```
data_BiSb2N
_chemical_formula_sum 'Bi2 Sb4 N2'
_cell_length_a 7.565
_cell_length_b 7.565
_cell_length_c 7.565
_cell_angle_alpha 133.34
_cell_angle_beta 133.34
_cell_angle_gamma 68.12
_symmetry_space_group_name_H-M 'P 1'
_symmetry_Int_Tables_number 1
_symmetry_space_group_name_Hall 'P 1'
loop_
_atom_site_label
_atom_site_fract_x
_atom_site_fract_y
_atom_site_fract_z
Bi1 0.000 0.000 0.000
Bi2 0.750 0.250 0.500
Sb1 0.246 0.625 0.121
Sb2 0.375 0.496 0.621
Sb3 0.504 0.125 0.879
Sb4 0.875 0.754 0.379
N1 0.250 0.750 0.500
N2 0.500 0.500 0.000
```

polymorph energy (0 for the lowest one) = 0 meV/atom
formation energy from raw total energies = 568 meV/atom
theoretical density = 6.89 Mg/m³

---

(20)
The following is a DFT calculation (PBE-GGA) of Bi3SbN after structural relaxation.

Cell and atoms, written as CIF:
```
data_Bi3SbN
_chemical_formula_sum 'Bi3 Sb1 N1'
_cell_length_a 5.019
_cell_length_b 5.019
_cell_length_c 5.019
_cell_angle_alpha 90.00
_cell_angle_beta 90.00
_cell_angle_gamma 90.00
_symmetry_space_group_name_H-M 'P 1'
_symmetry_Int_Tables_number 1
_symmetry_space_group_name_Hall 'P 1'
loop_
_atom_site_label
_atom_site_fract_x
_atom_site_fract_y
_atom_site_fract_z
Bi1 0.000 0.000 0.500
Bi2 0.000 0.500 0.000
Bi3 0.500 0.000 0.000
Sb1 0.500 0.500 0.500
N1 0.000 0.000 0.000
```

polymorph energy (0 for the lowest one) = 156 meV/atom
formation energy from raw total energies = 516 meV/atom
theoretical density = 10.01 Mg/m³